Entry 1:
VASP calculation (PBE-GGA) on an optimized crystal structure of Tl2TcHgCl8.

Cell and atoms, written as extended XYZ:
```
12
Lattice="-5.5986 0.6719 -3.8361 -1.5470 -1.0399 6.8215 -0.9769 9.0100 -1.2439" Properties=species:S:1:pos:R:3 pbc="T T T"
Cl -5.9442 4.3696 0.7869
Cl -2.1783 4.2724 0.9546
Cl -2.3097 7.1262 -1.8150
Cl -6.6185 8.0758 -0.0100
Cl -5.8128 1.5158 3.5565
Cl -2.7794 0.3286 5.3108
Cl -5.3431 8.3134 -3.5692
Cl -1.5040 0.5662 1.7515
Hg -0.4885 4.5050 -0.6220
Tc 0.0000 0.0000 0.0000
Tl -4.1945 1.6472 -0.0524
Tl -3.9280 6.9948 1.7939
```

Formation energy (no corrections) in eV/atom: -0.824
Uncorrected energy in eV/cell: -40.06

---

Entry 2:
VASP calculation (PBE-GGA) on an optimized crystal structure of GdTlZnAg.

Cell and atoms, written as extended XYZ:
```
4
Lattice="4.9976 0.0000 0.0000 2.4988 4.3280 0.0000 2.4988 1.4427 4.0805" Properties=species:S:1:pos:R:3 pbc="T T T"
Zn 7.4964 4.3280 3.0604
Gd 0.0000 0.0000 0.0000
Ag 2.4988 1.4427 1.0201
Tl 4.9976 2.8854 2.0403
```

Energy relative to the elements in meV per atom: -217
Uncorrected energy in eV/cell: -21.44

---

Entry 3:
VASP calculation (PBE-GGA) on an optimized crystal structure of TaSi3Ge.

Cell and atoms, written as extended XYZ:
```
5
Lattice="-3.1614 1.2440 3.1119 -3.1673 -2.5074 -2.2153 1.0954 -3.6594 2.5758" Properties=species:S:1:pos:R:3 pbc="T T T"
Ta -2.6166 -2.4614 1.7362
Si -1.5836 -1.2537 -1.1076
Si -1.5807 0.6220 1.5560
Si 0.5477 -1.8297 1.2879
Ge 0.0000 0.0000 0.0000
```

Formation energy (no corrections) in eV/atom: 1.417
Uncorrected energy in eV/cell: -25.65

---

Entry 4:
VASP calculation (PBE-GGA) on an optimized crystal structure of ZrMnFe2.

Cell and atoms, written as extended XYZ:
```
4
Lattice="-2.9061 -2.2526 2.1914 -3.9535 1.5518 0.5325 -3.2998 -1.8010 -2.0469" Properties=species:S:1:pos:R:3 pbc="T T T"
Fe -7.6195 -1.8763 0.5078
Fe -2.5398 -0.6254 0.1693
Zr -5.0797 -1.2509 0.3385
Mn 0.0000 0.0000 0.0000
```

Energy relative to the elements in meV per atom: 43
Uncorrected energy in eV/cell: -34.47

---

Entry 5:
VASP calculation (PBE-GGA) on an optimized crystal structure of Dy5Ho5Sc2.

Cell and atoms, written as extended XYZ:
```
12
Lattice="-1.3175 3.5591 -3.1458 0.0423 -2.9496 -7.2170 -9.8904 -2.4028 -2.4384" Properties=species:S:1:pos:R:3 pbc="T T T"
Ho -5.1570 -1.1146 -2.9634
Ho 0.0000 0.0000 0.0000
Ho -3.4613 1.3047 -4.7985
Ho -6.0086 -0.6786 -9.8377
Ho -7.7043 -3.0980 -8.0026
Dy -0.8534 0.4117 -6.9011
Dy -2.9866 -1.8003 -8.5104
Dy -8.1790 0.0071 -4.2908
Dy -5.5828 -0.8966 -6.4006
Dy -10.3122 -2.2049 -5.9001
Sc -2.5479 -2.0193 -5.0797
Sc -8.6177 0.2260 -7.7215
```

Energy relative to the elements in meV per atom: 35
Uncorrected energy in eV/cell: -58.15

---

Entry 6:
VASP calculation (PBE-GGA) on an optimized crystal structure of CoSbAs2.

Cell and atoms, written as extended XYZ:
```
4
Lattice="-0.9160 -1.7032 -2.6010 3.0853 -0.8320 -0.5418 -0.8509 -5.8421 4.1253" Properties=species:S:1:pos:R:3 pbc="T T T"
As 0.8412 -2.9392 -0.3910
As -0.0712 -0.4892 0.3454
Sb 0.5052 -5.2458 1.2377
Co -0.3822 -2.6242 1.8530
```

Formation energy (no corrections) in eV/atom: 0.194
Uncorrected energy in eV/cell: -19.75

---

Entry 7:
VASP calculation (PBE-GGA) on an optimized crystal structure of PmCdAu.

Cell and atoms, written as extended XYZ:
```
6
Lattice="3.6426 -0.0004 0.0298 0.0004 4.6443 -0.0105 -1.4496 0.0189 8.7834" Properties=species:S:1:pos:R:3 pbc="T T T"
Cd 2.8926 3.4841 0.6905
Cd -0.6991 1.1787 8.1122
Pm 1.0810 3.4967 6.1504
Pm 1.1125 1.1661 2.6523
Au -0.7228 1.1726 5.2414
Au 2.9163 3.4902 3.5613
```

Energy relative to the elements in meV per atom: -598
Uncorrected energy in eV/cell: -21.47

---

Entry 8:
VASP calculation (PBE-GGA) on an optimized crystal structure of CeTaBe2Ge2.

Cell and atoms, written as extended XYZ:
```
6
Lattice="3.8031 0.0000 0.0000 -1.9016 3.2936 0.0000 0.0000 0.0000 7.6971" Properties=species:S:1:pos:R:3 pbc="T T T"
Be 0.0000 2.1957 2.2804
Be 1.9016 1.0979 5.4167
Ge 1.9016 1.0979 2.0795
Ge 0.0000 2.1957 5.6176
Ta 0.0000 0.0000 3.8485
Ce 0.0000 0.0000 0.0000
```

Energy relative to the elements in meV per atom: -387
Uncorrected energy in eV/cell: -36.79